Computed, not measured: PrSnIrRh after structural relaxation at the PBE-GGA level of DFT.

Lattice parameters (Å, degrees): 4.8302 4.8302 4.8302 60.00 60.00 60.00
With the nearest neighbours (Å) after each atom.
Atoms (fractional coordinates):
Pr1 0.0000 0.0000 0.0000  4 Rh 2.96, 4 Ir 2.96
Sn1 0.5000 0.5000 0.5000  4 Rh 2.96, 4 Ir 2.96
Ir1 0.2500 0.2500 0.2500  4 Sn 2.96, 4 Pr 2.96
Rh1 0.7500 0.7500 0.7500  4 Pr 2.96, 4 Sn 2.96

Summary:
* calculated formation energy: -10.42 kcal/mol of atoms
* symmetry: F-43m (216)
* electronic total energy: -26.8 eV for the cell shown